This record from Alexandria describes a relaxed Tl2ReSi crystal. The functional is GGA-PBE.

Values from the calculation:
D(E_F) = 0.832 states/eV/atom
magnetic moment = 0.0 μB per formula unit
mass density = 12.77 Mg/m³
distance to the lowest polymorph of the same formula = 0.7516 eV/atom
uncorrected formation energy = 1105 meV per atom

Geometry as CIF:
```
data_Tl2ReSi
_symmetry_space_group_name_H-M 'P 1'
_symmetry_Int_Tables_number 1
_cell_length_a 5.872
_cell_length_b 5.872
_cell_length_c 3.421
_cell_angle_alpha 72.75
_cell_angle_beta 72.75
_cell_angle_gamma 120.81
loop_
_symmetry_equiv_pos_as_xyz
'x,y,z'
loop_
_atom_site_label
_atom_site_type_symbol
_atom_site_fract_x
_atom_site_fract_y
_atom_site_fract_z
Tl1 Tl 0.500 0.500 0.000
Si1 Si 0.000 0.500 0.500
Re1 Re 0.500 0.000 0.500
Tl2 Tl 0.000 0.000 0.000
```